Record 1
# LaTm4In | Alexandria via LeMat-Bulk | PBE | relaxed
data_LaTm4In
_chemical_formula_sum 'La2 Tm8 In2'
_cell_length_a 8.038
_cell_length_b 8.038
_cell_length_c 9.157
_cell_angle_alpha 90.00
_cell_angle_beta 90.00
_cell_angle_gamma 140.06
_space_group_name_H-M_alt 'P 1'
_space_group_IT_number 1
_space_group_name_Hall 'P 1'
loop_
_atom_site_label
_atom_site_type_symbol
_atom_site_fract_x
_atom_site_fract_y
_atom_site_fract_z
La1 La 0.118 0.882 0.500
La2 La 0.882 0.118 0.000
Tm1 Tm 0.107 0.893 0.132
Tm2 Tm 0.257 0.743 0.824
Tm3 Tm 0.332 0.668 0.167
Tm4 Tm 0.479 0.521 0.842
Tm5 Tm 0.521 0.479 0.342
Tm6 Tm 0.668 0.332 0.667
Tm7 Tm 0.743 0.257 0.324
Tm8 Tm 0.893 0.107 0.632
In1 In 0.336 0.664 0.509
In2 In 0.664 0.336 0.009
# **E**: -4.148 eV/atom
# **Calculated formation energy**: 0.110 eV/atom
# **Space-group type**: Cmc2_1, No. 36
# **E above lowest polymorph**: 248 meV/atom
# **Density**: 8.13 g/cm³
# **Total magnetization**: 0.0 μB/f.u.

***

Record 2
# LaTm2In2 | Alexandria via LeMat-Bulk | PBE | relaxed
data_LaTm2In2
_chemical_formula_sum 'La2 Tm4 In4'
_cell_length_a 14.491
_cell_length_b 14.491
_cell_length_c 14.491
_cell_angle_alpha 161.36
_cell_angle_beta 161.36
_cell_angle_gamma 26.48
_space_group_name_H-M_alt 'P 1'
_space_group_IT_number 1
_space_group_name_Hall 'P 1'
loop_
_atom_site_label
_atom_site_type_symbol
_atom_site_fract_x
_atom_site_fract_y
_atom_site_fract_z
La1 La 0.130 0.130 0.000
La2 La 0.870 0.870 0.000
Tm1 Tm 0.250 0.750 0.500
Tm2 Tm 0.428 0.428 0.000
Tm3 Tm 0.572 0.572 0.000
Tm4 Tm 0.750 0.250 0.500
In1 In 0.000 0.500 0.500
In2 In 0.324 0.324 0.000
In3 In 0.500 0.000 0.500
In4 In 0.676 0.676 0.000
# **E**: -4.062 eV/atom
# **Calculated formation energy**: -0.193 eV/atom
# **Space-group type**: I4/mmm, No. 139
# **E above lowest polymorph**: 72 meV/atom
# **Density**: 7.55 g/cm³
# **Total magnetization**: 0.0 μB/f.u.

***

Record 3
# La3Tm4In4 | Alexandria via LeMat-Bulk | PBE | relaxed
data_La3Tm4In4
_chemical_formula_sum 'La3 Tm4 In4'
_cell_length_a 9.678
_cell_length_b 9.678
_cell_length_c 9.678
_cell_angle_alpha 149.48
_cell_angle_beta 131.68
_cell_angle_gamma 58.24
_space_group_name_H-M_alt 'P 1'
_space_group_IT_number 1
_space_group_name_Hall 'P 1'
loop_
_atom_site_label
_atom_site_type_symbol
_atom_site_fract_x
_atom_site_fract_y
_atom_site_fract_z
La1 La 0.000 0.000 0.000
La2 La 0.387 0.887 0.500
La3 La 0.613 0.113 0.500
Tm1 Tm 0.036 0.326 0.711
Tm2 Tm 0.385 0.674 0.711
Tm3 Tm 0.615 0.326 0.289
Tm4 Tm 0.964 0.674 0.289
In1 In 0.203 0.203 0.000
In2 In 0.310 0.500 0.810
In3 In 0.690 0.500 0.190
In4 In 0.797 0.797 0.000
# **E**: -4.275 eV/atom
# **Calculated formation energy**: -0.309 eV/atom
# **Space-group type**: Immm, No. 71
# **Density**: 7.55 g/cm³
# **Total magnetization**: 0.0 μB/f.u.

***

Record 4
# La2Tm2In3 | Alexandria via LeMat-Bulk | PBE | relaxed
data_La2Tm2In3
_chemical_formula_sum 'La4 Tm4 In6'
_cell_length_a 4.739
_cell_length_b 25.061
_cell_length_c 3.417
_cell_angle_alpha 90.00
_cell_angle_beta 90.00
_cell_angle_gamma 90.00
_space_group_name_H-M_alt 'P 1'
_space_group_IT_number 1
_space_group_name_Hall 'P 1'
loop_
_atom_site_label
_atom_site_type_symbol
_atom_site_fract_x
_atom_site_fract_y
_atom_site_fract_z
La1 La 0.000 0.075 0.000
La2 La 0.000 0.925 0.000
La3 La 0.500 0.425 0.000
La4 La 0.500 0.575 0.000
Tm1 Tm 0.000 0.206 0.000
Tm2 Tm 0.000 0.794 0.000
Tm3 Tm 0.500 0.294 0.000
Tm4 Tm 0.500 0.706 0.000
In1 In 0.000 0.343 0.500
In2 In 0.000 0.500 0.500
In3 In 0.000 0.657 0.500
In4 In 0.500 0.000 0.500
In5 In 0.500 0.157 0.500
In6 In 0.500 0.843 0.500
# **E**: -4.189 eV/atom
# **Calculated formation energy**: -0.330 eV/atom
# **Space-group type**: Cmmm, No. 65
# **E above lowest polymorph**: 0 meV/atom
# **Density**: 7.86 g/cm³
# **Total magnetization**: 0.0 μB/f.u.

***

Record 5
# La6Tm2In | Alexandria via LeMat-Bulk | PBE | relaxed
data_La6Tm2In
_chemical_formula_sum 'La6 Tm2 In1'
_cell_length_a 10.013
_cell_length_b 10.013
_cell_length_c 3.442
_cell_angle_alpha 90.00
_cell_angle_beta 90.00
_cell_angle_gamma 120.00
_space_group_name_H-M_alt 'P 1'
_space_group_IT_number 1
_space_group_name_Hall 'P 1'
loop_
_atom_site_label
_atom_site_type_symbol
_atom_site_fract_x
_atom_site_fract_y
_atom_site_fract_z
La1 La 0.000 0.322 0.000
La2 La 0.000 0.678 0.000
La3 La 0.322 0.000 0.000
La4 La 0.322 0.322 0.000
La5 La 0.678 0.000 0.000
La6 La 0.678 0.678 0.000
Tm1 Tm 0.333 0.667 0.500
Tm2 Tm 0.667 0.333 0.500
In1 In 0.000 0.000 0.500
# **E**: -4.628 eV/atom
# **Calculated formation energy**: -0.045 eV/atom
# **Space-group type**: P6/mmm, No. 191
# **Density**: 7.14 g/cm³
# **Total magnetization**: 0.0 μB/f.u.

***

Record 6
# La3TmIn12 | Alexandria via LeMat-Bulk | PBE | relaxed
data_La3TmIn12
_chemical_formula_sum 'La3 Tm1 In12'
_cell_length_a 4.744
_cell_length_b 4.744
_cell_length_c 19.011
_cell_angle_alpha 90.00
_cell_angle_beta 90.00
_cell_angle_gamma 90.00
_space_group_name_H-M_alt 'P 1'
_space_group_IT_number 1
_space_group_name_Hall 'P 1'
loop_
_atom_site_label
_atom_site_type_symbol
_atom_site_fract_x
_atom_site_fract_y
_atom_site_fract_z
La1 La 0.000 0.000 0.000
La2 La 0.000 0.000 0.256
La3 La 0.000 0.000 0.744
Tm1 Tm 0.000 0.000 0.500
In1 In 0.000 0.500 0.128
In2 In 0.000 0.500 0.382
In3 In 0.000 0.500 0.618
In4 In 0.000 0.500 0.872
In5 In 0.500 0.000 0.128
In6 In 0.500 0.000 0.382
In7 In 0.500 0.000 0.618
In8 In 0.500 0.000 0.872
In9 In 0.500 0.500 0.000
In10 In 0.500 0.500 0.251
In11 In 0.500 0.500 0.500
In12 In 0.500 0.500 0.749
# **E**: -3.710 eV/atom
# **Calculated formation energy**: -0.453 eV/atom
# **Space-group type**: P4/mmm, No. 123
# **Density**: 7.62 g/cm³
# **Total magnetization**: 0.0 μB/f.u.